(1)
Below is crystalline Ce3Dy2TmSb6 at its relaxed geometry, with properties calculated at the PBE level.

E_tot (eV per atom): -5.762

```
data_Ce3Dy2TmSb6
_chemical_formula_sum 'Ce3 Dy2 Tm1 Sb6'
_cell_length_a 7.6849
_cell_length_b 7.6849
_cell_length_c 7.6748
_cell_angle_alpha 99.61
_cell_angle_beta 99.61
_cell_angle_gamma 119.99
_space_group_name_H-M_alt 'P 1'
_space_group_IT_number 1
_space_group_name_Hall 'P 1'
loop_
_atom_site_label
_atom_site_fract_x
_atom_site_fract_y
_atom_site_fract_z
Sb1 0.0805 0.4121 0.2420
Sb2 0.7497 0.7497 0.2430
Sb3 0.9195 0.5879 0.7580
Sb4 0.4121 0.0805 0.2420
Sb5 0.2503 0.2503 0.7570
Sb6 0.5879 0.9195 0.7580
Dy1 0.6663 0.3337 0.0000
Dy2 0.3337 0.6663 0.0000
Tm1 0.0000 0.0000 0.0000
Ce1 0.8325 0.1675 0.5000
Ce2 0.5000 0.5000 0.5000
Ce3 0.1675 0.8325 0.5000
```



(2)
Below is crystalline SmGdCdSn at its relaxed geometry, with properties calculated at the PBE level.

E_form (eV/atom): -0.5248
E_tot (eV per atom): -6.454

```
data_SmGdCdSn
_chemical_formula_sum 'Sm1 Gd1 Cd1 Sn1'
_cell_length_a 5.3644
_cell_length_b 5.3644
_cell_length_c 5.3644
_cell_angle_alpha 60.00
_cell_angle_beta 60.00
_cell_angle_gamma 60.00
_space_group_name_H-M_alt 'P 1'
_space_group_IT_number 1
_space_group_name_Hall 'P 1'
loop_
_atom_site_label
_atom_site_fract_x
_atom_site_fract_y
_atom_site_fract_z
Sm1 0.5000 0.5000 0.5000
Sn1 0.2500 0.2500 0.2500
Cd1 0.7500 0.7500 0.7500
Gd1 0.0000 0.0000 0.0000
```



- The lowest E_tot belongs to which entry?
  SmGdCdSn



- What is the E_tot in the second record?
  -6.454 eV per atom